# 1
Below is a relaxed CdFe2Tc crystal, with properties calculated at the GGA-PBE level.

Cell: 4.581 4.581 4.581 Å, 127.94 127.97 76.70°
Each line ends with the local moment (μB).
Sites, in units of the cell vectors:
1 Cd 0.750 0.250 0.500  -0.02
2 Fe 0.000 0.000 0.000  2.59
3 Fe 0.500 0.500 0.000  2.59
4 Tc 0.250 0.750 0.500  0.34

Properties
The total DFT energy (no corrections) comes out at -6.611 eV per atom.

=====

# 2
Below is a relaxed DyZr4Ir5 crystal, with properties calculated at the GGA-PBE level.

Cell: 3.336 3.336 16.728 Å, 90.00 90.00 90.00°
Sites, in units of the cell vectors:
1 Dy 0.000 0.000 0.000
2 Zr 0.000 0.000 0.205
3 Zr 0.000 0.000 0.402
4 Zr 0.000 0.000 0.598
5 Zr 0.000 0.000 0.795
6 Ir 0.500 0.500 0.115
7 Ir 0.500 0.500 0.306
8 Ir 0.500 0.500 0.500
9 Ir 0.500 0.500 0.694
10 Ir 0.500 0.500 0.885

Properties
The total DFT energy (no corrections) comes out at -9.106 eV per atom.

=====

# 3
Below is a relaxed NaPdAuO4 crystal, with properties calculated at the GGA-PBE level.

Cell: 6.234 6.726 6.181 Å, 117.35 90.00 117.61°
Sites, in units of the cell vectors:
1 Na 0.850 0.700 0.100
2 Na 0.150 0.300 0.900
3 Pd 0.500 0.000 0.500
4 Pd 0.500 0.000 0.000
5 Au 0.500 0.500 0.500
6 Au 0.000 0.500 0.500
7 O 0.700 0.400 0.660
8 O 0.272 0.959 0.230
9 O 0.687 0.959 0.230
10 O 0.700 0.400 0.240
11 O 0.300 0.600 0.760
12 O 0.728 0.041 0.770
13 O 0.313 0.041 0.770
14 O 0.300 0.600 0.340

Properties
As for the energy relative to the elements, uncorrected: -0.519 eV per atom. The total DFT energy (no corrections) comes out at -4.751 eV per atom.

=====

The records above give, respectively, DOS at the Fermi energy values of 4.80 6.10 7.07 states/eV/cell.